Entry 1:
! meta-GGA SCAN BeTlBr2, single point on PBEsol structure; values from VASP
&SYSTEM
  ibrav = 0, nat = 4, ntyp = 3
/
ATOMIC_SPECIES
Be 9.01 Be.upf
Tl 204.38 Tl.upf
Br 79.90 Br.upf
CELL_PARAMETERS angstrom
-1.663 3.012 5.000
1.663 -3.012 5.000
1.663 3.012 -5.000
ATOMIC_POSITIONS crystal
Be 0.000 0.000 0.000
Tl 0.500 0.500 0.000
Br 0.160 0.660 0.500
Br 0.840 0.340 0.500
! E_form (uncorrected) in eV/atom: -0.411
! Energy above the most stable polymorph in this dataset in eV per atom: 0.011

***

Entry 2:
! meta-GGA SCAN BaZrBr2, single point on PBEsol structure; values from VASP
&SYSTEM
  ibrav = 0, nat = 4, ntyp = 3
/
ATOMIC_SPECIES
Ba 137.33 Ba.upf
Zr 91.22 Zr.upf
Br 79.90 Br.upf
CELL_PARAMETERS angstrom
4.398 -1.790 0.000
4.398 1.790 0.000
-1.449 0.000 6.597
ATOMIC_POSITIONS crystal
Ba 0.000 0.000 0.000
Zr 0.500 0.500 0.500
Br 0.237 0.237 0.696
Br 0.763 0.763 0.304
! E_form (uncorrected) in eV/atom: -0.909
! Energy above the most stable polymorph in this dataset in eV per atom: 0.054

***

Entry 3:
! meta-GGA SCAN Na2VPCO7, single point on PBEsol structure; values from VASP
&SYSTEM
  ibrav = 0, nat = 24, ntyp = 5
/
ATOMIC_SPECIES
Na 22.99 Na.upf
V 50.94 V.upf
P 30.97 P.upf
C 12.01 C.upf
O 16.00 O.upf
CELL_PARAMETERS angstrom
5.217 0.000 0.000
0.000 6.373 0.000
-0.361 0.000 8.933
ATOMIC_POSITIONS crystal
Na 0.219 0.000 0.083
Na 0.258 0.259 0.725
Na 0.742 0.759 0.275
Na 0.781 0.500 0.917
V 0.218 0.471 0.337
V 0.782 0.971 0.663
P 0.278 0.976 0.426
P 0.722 0.476 0.574
C 0.296 0.476 0.068
C 0.704 0.976 0.932
O 0.063 0.475 0.121
O 0.112 0.986 0.563
O 0.210 0.785 0.323
O 0.228 0.168 0.321
O 0.337 0.457 0.931
O 0.435 0.463 0.526
O 0.479 0.492 0.172
O 0.521 0.992 0.828
O 0.565 0.963 0.474
O 0.663 0.957 0.069
O 0.772 0.668 0.679
O 0.790 0.285 0.677
O 0.888 0.486 0.437
O 0.937 0.975 0.879
! E_form (uncorrected) in eV/atom: -2.272
! Energy above the most stable polymorph in this dataset in eV per atom: 0.010

***

Entry 4:
! meta-GGA SCAN LaCr2Rh, single point on PBEsol structure; values from VASP
&SYSTEM
  ibrav = 0, nat = 4, ntyp = 3
/
ATOMIC_SPECIES
La 138.91 La.upf
Cr 52.00 Cr.upf
Rh 102.91 Rh.upf
CELL_PARAMETERS angstrom
-2.117 2.117 3.950
2.117 -2.117 3.950
2.117 2.117 -3.950
ATOMIC_POSITIONS crystal
La 0.000 0.000 0.000
Cr 0.250 0.750 0.500
Cr 0.750 0.250 0.500
Rh 0.500 0.500 0.000
! Formation energy from the elements in meV per atom: 182
! Energy above the most stable polymorph in this dataset in eV per atom: 0.181

***

Entry 5:
! meta-GGA SCAN AlCo3, single point on PBEsol structure; values from VASP
&SYSTEM
  ibrav = 0, nat = 8, ntyp = 2
/
ATOMIC_SPECIES
Al 26.98 Al.upf
Co 58.93 Co.upf
CELL_PARAMETERS angstrom
4.998 0.000 0.000
-2.499 4.328 0.000
0.000 0.000 4.039
ATOMIC_POSITIONS crystal
Al 0.333 0.667 0.250
Al 0.667 0.333 0.750
Co 0.165 0.330 0.750
Co 0.165 0.835 0.750
Co 0.330 0.165 0.250
Co 0.670 0.835 0.750
Co 0.835 0.165 0.250
Co 0.835 0.670 0.250
! Formation energy from the elements in meV per atom: -152

***

Entry 6:
! meta-GGA SCAN LaCd2Fe, single point on PBEsol structure; values from VASP
&SYSTEM
  ibrav = 0, nat = 4, ntyp = 3
/
ATOMIC_SPECIES
La 138.91 La.upf
Cd 112.41 Cd.upf
Fe 55.84 Fe.upf
CELL_PARAMETERS angstrom
2.761 -5.659 0.000
2.761 5.659 0.000
-1.503 0.000 2.759
ATOMIC_POSITIONS crystal
La 0.000 0.000 0.000
Cd 0.000 0.500 0.500
Cd 0.500 0.000 0.500
Fe 0.500 0.500 0.000
! Formation energy from the elements in meV per atom: 294